P) The following is a GGA-PBE calculation of a relaxed Pr2ZnP crystal, from the Alexandria database.

Geometry as POSCAR:
```
Pr2ZnP
1.0
-0.100 -2.331 -3.414
-0.991 -4.006 0.260
-7.658 -0.372 -2.027
P Pr Zn
1 2 1
Cartesian
-8.383 -4.597 -4.129
-1.922 -1.740 -1.260
-6.087 -0.746 -1.817
-4.389 -3.351 -2.592
```

Space group: R3m, No. 160


Q) The following is a GGA-PBE calculation of a relaxed Pr2ZnP crystal, from the Alexandria database.

Geometry as POSCAR:
```
Pr2ZnP
1.0
-0.282 -4.009 -0.052
3.303 -2.253 0.411
-0.209 -2.126 9.692
Zn P Pr
1 1 2
Cartesian
0.000 0.000 0.000
1.406 -4.194 5.025
2.618 -6.275 3.532
0.194 -2.113 6.519
```

Space group: R-3m, No. 166


Stability check: which of them is least stable? Q).


P) The following is a GGA-PBE calculation of a relaxed P3Pt crystal, from the Alexandria database.

Geometry as POSCAR:
```
P3Pt
1.0
-5.619 0.607 -0.950
-3.068 -4.583 -1.558
3.547 1.964 4.050
P Pt
3 1
Cartesian
-1.852 -0.526 2.472
0.281 0.451 3.088
0.064 -1.092 1.508
-1.573 1.951 2.354
```

Space group: Imm2, No. 44


Q) The following is a GGA-PBE calculation of a relaxed P3Pt crystal, from the Alexandria database.

Geometry as POSCAR:
```
P3Pt
1.0
4.269 -0.054 0.000
-0.828 4.188 0.000
-1.721 -2.067 3.316
Pt P
1 3
Cartesian
0.000 0.000 0.000
2.135 -0.027 1.658
-0.414 2.094 1.658
1.721 2.067 0.000
```

Space group: I4/mmm, No. 139


R) The following is a GGA-PBE calculation of a relaxed P3Pt crystal, from the Alexandria database.

Geometry as POSCAR:
```
P3Pt
1.0
-0.439 -1.245 -2.463
2.615 -0.189 0.967
-1.972 -7.103 3.943
P Pt
3 1
Cartesian
-1.969 -7.092 3.937
-0.989 -3.563 1.978
-0.391 -6.044 2.209
0.595 -2.493 0.238
```

Space group: Cmmm, No. 65


Stability check: which of them is least stable? R).


P) The following is a GGA-PBE calculation of a relaxed P3Pt crystal, from the Alexandria database.

Geometry as POSCAR:
```
P3Pt
1.0
-0.460 3.765 0.590
-1.642 0.491 -4.412
-6.460 -1.146 2.276
P Pt
6 2
Cartesian
-0.988 1.612 -1.992
-2.591 0.069 -1.567
-1.920 3.369 1.089
-5.428 2.746 2.325
-5.543 -0.455 -0.527
-3.523 1.825 1.514
-4.285 1.591 -0.767
-0.226 1.846 0.289
```

Space group: Pmmn, No. 59


Q) The following is a GGA-PBE calculation of a relaxed P3Pt crystal, from the Alexandria database.

Geometry as POSCAR:
```
P3Pt
1.0
5.623 0.000 0.000
-2.812 4.870 0.000
0.000 0.000 8.929
Pt P
4 12
Cartesian
0.000 0.000 4.464
0.000 0.000 0.000
0.000 3.247 2.232
2.812 1.623 6.697
1.406 2.435 4.464
1.587 4.163 6.697
-1.406 2.435 4.464
2.812 0.000 4.464
2.812 0.000 0.000
4.399 0.707 2.232
1.224 0.707 2.232
0.000 1.414 6.697
-1.587 4.163 6.697
-1.406 2.435 0.000
2.812 3.456 2.232
1.406 2.435 0.000
```

Space group: P6_3/mmc, No. 194


Stability check: which of them is least stable? Q).


P) The following is a GGA-PBE calculation of a relaxed P3Pt crystal, from the Alexandria database.

Geometry as POSCAR:
```
P3Pt
1.0
3.001 0.000 0.000
0.000 3.001 0.000
0.000 0.000 6.505
Pt P
1 3
Cartesian
1.500 1.500 4.878
1.500 1.500 1.626
0.000 0.000 3.231
0.000 0.000 0.022
```

Space group: P4/mmm, No. 123


Q) The following is a GGA-PBE calculation of a relaxed P3Pt crystal, from the Alexandria database.

Geometry as POSCAR:
```
P3Pt
1.0
-2.192 -1.513 1.007
-1.072 -0.958 -3.773
3.192 -4.471 0.229
P Pt
3 1
Cartesian
0.916 -4.805 -1.200
1.596 -2.236 0.114
-0.988 -2.138 -1.337
0.000 0.000 0.000
```

Space group: Pmmm, No. 47


Stability check: which of them is least stable? Q).


P) The following is a GGA-PBE calculation of a relaxed P3Pt crystal, from the Alexandria database.

Geometry as POSCAR:
```
P3Pt
1.0
3.918 0.000 0.000
0.000 3.918 0.000
0.000 0.000 3.918
P Pt
3 1
Cartesian
0.000 1.959 1.959
1.959 1.959 0.000
1.959 0.000 1.959
0.000 0.000 0.000
```

Space group: Pm-3m, No. 221


Q) The following is a GGA-PBE calculation of a relaxed P3Pt crystal, from the Alexandria database.

Geometry as POSCAR:
```
P3Pt
1.0
5.643 0.000 0.000
0.000 5.607 0.000
0.000 0.000 9.318
Pt P
4 12
Cartesian
2.899 0.840 6.989
0.078 1.964 2.330
2.744 4.767 2.330
5.566 3.643 6.989
4.967 0.071 5.727
0.625 1.386 6.989
2.197 4.190 6.989
0.676 5.536 3.591
5.018 4.221 2.330
2.145 2.733 1.068
3.498 2.875 8.251
2.145 2.733 3.591
4.967 0.071 8.251
3.498 2.875 5.727
0.676 5.536 1.068
3.446 1.417 2.330
```

Space group: Pnma, No. 62


R) The following is a GGA-PBE calculation of a relaxed P3Pt crystal, from the Alexandria database.

Geometry as POSCAR:
```
P3Pt
1.0
4.216 0.196 0.587
-1.698 3.864 0.587
-1.698 -2.737 2.790
P Pt
3 1
Cartesian
1.259 2.030 0.587
1.259 -1.271 1.689
0.000 0.000 0.000
-1.698 0.563 1.689
```

Space group: Im-3m, No. 229


Stability check: which of them is least stable? P).


P) The following is a GGA-PBE calculation of a relaxed P3Pt crystal, from the Alexandria database.

Geometry as POSCAR:
```
P3Pt
1.0
6.221 0.020 0.012
5.268 3.310 0.012
5.268 1.527 2.937
Pt P
1 3
Cartesian
0.000 0.000 0.000
12.607 3.654 2.228
8.378 2.428 1.480
4.149 1.202 0.733
```

Space group: R-3m, No. 166


Q) The following is a GGA-PBE calculation of a relaxed P3Pt crystal, from the Alexandria database.

Geometry as POSCAR:
```
P3Pt
1.0
-0.627 1.028 -3.053
-0.895 -3.017 0.932
-5.817 2.338 1.982
P Pt
3 1
Cartesian
-0.016 0.006 0.005
-2.171 0.264 -1.229
-2.893 1.162 0.986
-5.079 1.433 -0.238
```

Space group: P-6m2, No. 187


Stability check: which of them is least stable? Q).


P) The following is a GGA-PBE calculation of a relaxed P3Pt5 crystal, from the Alexandria database.

Geometry as POSCAR:
```
P3Pt5
1.0
6.652 0.000 0.000
-3.326 5.761 0.000
0.000 0.000 6.992
P Pt
6 10
Cartesian
-1.307 2.264 5.244
4.038 0.000 1.748
2.019 3.497 5.244
2.614 0.000 5.244
1.307 2.264 1.748
-2.019 3.497 1.748
0.000 3.841 3.496
3.326 1.920 0.000
2.434 4.216 1.748
-2.434 4.216 5.244
3.326 1.920 3.496
1.784 0.000 1.748
4.868 0.000 5.244
0.892 1.545 5.244
-0.892 1.545 1.748
0.000 3.841 0.000
```

Space group: P6_3/mcm, No. 193


Q) The following is a GGA-PBE calculation of a relaxed P3Pt5 crystal, from the Alexandria database.

Geometry as POSCAR:
```
P3Pt5
1.0
3.437 -4.759 0.000
3.437 4.759 0.000
0.000 0.000 3.794
Pt P
5 3
Cartesian
2.027 0.000 1.897
1.718 -2.380 0.000
4.846 0.000 1.897
0.000 0.000 0.000
1.718 2.380 0.000
3.437 -3.038 1.897
3.437 3.038 1.897
3.437 0.000 0.000
```

Space group: Cmmm, No. 65


R) The following is a GGA-PBE calculation of a relaxed P3Pt5 crystal, from the Alexandria database.

Geometry as POSCAR:
```
P3Pt5
1.0
-3.886 5.526 0.919
-2.580 -4.239 -4.676
-0.001 -3.671 6.408
Pt P
10 6
Cartesian
-2.216 -6.083 0.637
-2.797 -3.495 -3.178
-1.288 -1.648 0.555
-2.608 -1.495 4.846
-4.749 0.710 -0.340
-3.835 1.302 2.563
-2.933 0.961 6.256
-3.266 -3.564 -0.284
-3.121 -1.040 -1.769
-2.641 -2.915 2.451
-3.568 2.473 0.582
-4.534 0.901 -2.635
-1.838 -5.071 2.683
-2.098 -0.344 2.703
-1.301 -3.413 5.651
-5.035 -1.911 -0.442
```

Space group: Fmm2, No. 42


Stability check: which of them is least stable? Q).


P) The following is a GGA-PBE calculation of a relaxed P2Pt5 crystal, from the Alexandria database.

Geometry as POSCAR:
```
P2Pt5
1.0
4.885 0.000 -1.915
-0.451 6.326 -1.149
0.007 0.236 7.207
Pt P
10 4
Cartesian
2.246 3.916 4.364
1.466 0.722 1.706
4.583 2.677 2.469
2.196 2.646 -0.222
0.040 4.744 -1.010
2.975 5.840 2.436
1.544 0.753 5.303
-0.142 3.885 1.674
4.395 1.581 -2.054
2.898 5.809 -1.160
4.245 1.597 0.398
2.625 1.802 3.455
1.817 4.760 0.687
0.197 4.965 3.744
```

Space group: C2/c, No. 15


Q) The following is a GGA-PBE calculation of a relaxed P2Pt5 crystal, from the Alexandria database.

Geometry as POSCAR:
```
P2Pt5
1.0
-3.117 2.854 -4.410
-3.994 -2.497 -3.889
-6.307 1.407 3.842
Pt P
10 4
Cartesian
-3.362 -1.209 -2.442
-8.627 -0.851 -1.065
-5.857 -0.414 -1.252
-7.383 -0.668 -3.650
-10.056 2.973 -2.015
-4.791 2.615 -3.392
-8.615 2.705 0.434
-4.803 -0.941 -4.891
-6.035 2.432 -0.807
-7.561 2.178 -3.205
-9.338 0.751 -2.633
-7.399 0.709 0.195
-6.019 1.056 -4.652
-4.080 1.013 -1.824
```

Space group: C2/c, No. 15


Stability check: which of them is least stable? P).


P) The following is a GGA-PBE calculation of a relaxed P4Pt crystal, from the Alexandria database.

Geometry as POSCAR:
```
P4Pt
1.0
2.230 3.509 2.603
-3.231 0.125 3.688
2.221 -4.085 -1.562
Pt P
1 4
Cartesian
0.000 0.000 0.000
1.975 0.620 2.093
-0.755 -1.071 2.636
-0.670 2.432 4.211
-0.331 1.202 2.080
```

Space group: I4/mmm, No. 139


Q) The following is a GGA-PBE calculation of a relaxed P4Pt crystal, from the Alexandria database.

Geometry as POSCAR:
```
P4Pt
1.0
3.150 -1.754 -3.387
0.300 -2.742 4.107
-4.612 -0.195 -1.779
P Pt
4 1
Cartesian
-2.306 -0.097 -0.890
-0.581 -2.345 -0.530
0.150 -1.371 2.053
1.575 -0.877 -1.694
0.000 0.000 0.000
```

Space group: Im-3m, No. 229


Stability check: which of them is least stable? Q).


P) The following is a GGA-PBE calculation of a relaxed P4Pt crystal, from the Alexandria database.

Geometry as POSCAR:
```
P4Pt
1.0
4.960 0.000 0.000
0.000 4.962 -0.874
0.000 -0.218 6.787
Pt P
2 8
Cartesian
2.480 -0.109 3.393
0.000 0.000 0.000
4.048 3.735 1.020
3.391 3.626 4.414
1.732 2.906 5.746
0.748 3.015 2.352
3.228 1.838 0.168
4.212 1.729 3.561
1.569 1.118 1.500
0.911 1.009 4.893
```

Space group: P2_1/c, No. 14


Q) The following is a GGA-PBE calculation of a relaxed P4Pt crystal, from the Alexandria database.

Geometry as POSCAR:
```
P4Pt
1.0
4.669 0.000 0.000
0.000 4.669 0.000
0.000 0.000 4.669
P Pt
4 1
Cartesian
0.000 0.000 0.000
2.335 0.000 2.335
0.000 2.335 2.335
2.335 2.335 0.000
2.335 2.335 2.335
```

Space group: Pm-3m, No. 221


Stability check: which of them is least stable? Q).